Record 1
Here is a relaxed structure of Er2CdCu from the Alexandria database. Energies are from GGA-PBE.

a b c (Å): 3.471 3.471 7.622
angles (deg): 90.00 90.00 90.00
Element x y z (fractional)
Er: 0.000 0.000 0.221
Er: 0.000 0.000 0.779
Cd: 0.500 0.500 0.500
Cu: 0.500 0.500 0.000

Output
Polymorph energy (0 for the lowest one) = 0.0 kJ/mol of atoms
Electronic total energy = -3.823 eV/atom
Density of states at the Fermi level = 0.776 states/eV per atom
Space-group type = P4/mmm, No. 123
Formation enthalpy at 0 K = -111 kJ/mol of formula units
Calculated volume = 22.952 Å³ per atom
ρ = 9.233 g cm⁻³

Record 2
Here is a relaxed structure of KRbBrF from the Alexandria database. Energies are from GGA-PBE.

a b c (Å): 18.835 18.835 18.835
angles (deg): 14.01 14.01 14.01
Element x y z (fractional)
K: 0.221 0.221 0.221
K: 0.779 0.779 0.779
Rb: 0.040 0.040 0.040
Rb: 0.960 0.960 0.960
Br: 0.145 0.145 0.145
Br: 0.855 0.855 0.855
F: 0.082 0.082 0.082
F: 0.918 0.918 0.918

Output
Electronic total energy = -2.869 eV/atom
Density of states at the Fermi level = 1.029 states/eV per atom
Space-group type = R-3m, No. 166
Calculated volume = 42.613 Å³ per atom
ρ = 2.177 g cm⁻³

Record 3
Here is a relaxed structure of RbNaMgCu2 from the Alexandria database. Energies are from GGA-PBE.

a b c (Å): 6.014 6.014 6.476
angles (deg): 90.00 90.00 90.00
Element x y z (fractional)
Rb: 0.000 0.000 0.000
Na: 0.500 0.500 0.500
Mg: 0.000 0.000 0.500
Cu: 0.000 0.500 0.000
Cu: 0.500 0.000 0.000

Output
Electronic total energy = -1.293 eV/atom
Density of states at the Fermi level = 0.213 states/eV per atom
Space-group type = P4/mmm, No. 123
Formation enthalpy at 0 K = 541 kJ/mol of formula units
Calculated volume = 46.856 Å³ per atom
ρ = 1.842 g cm⁻³

Record 4
Here is a relaxed structure of Rb2Rh3PbF12 from the Alexandria database. Energies are from GGA-PBE.

a b c (Å): 7.480 7.480 7.480
angles (deg): 61.98 61.98 61.98
Element x y z (fractional)
Rb: 0.116 0.116 0.116
Rb: 0.884 0.884 0.884
Rh: 0.000 0.500 0.500
Rh: 0.500 0.000 0.500
Rh: 0.500 0.500 0.000
Pb: 0.500 0.500 0.500
F: 0.093 0.621 0.621
F: 0.215 0.215 0.618
F: 0.215 0.618 0.215
F: 0.379 0.379 0.907
F: 0.379 0.907 0.379
F: 0.382 0.785 0.785
F: 0.618 0.215 0.215
F: 0.621 0.093 0.621
F: 0.621 0.621 0.093
F: 0.785 0.382 0.785
F: 0.785 0.785 0.382
F: 0.907 0.379 0.379

Output
Electronic total energy = -4.714 eV/atom
Density of states at the Fermi level = 0.276 states/eV per atom
Space-group type = R-3m, No. 166
Calculated volume = 17.167 Å³ per atom
ρ = 4.916 g cm⁻³

Record 5
Here is a relaxed structure of CaCe2HfN4 from the Alexandria database. Energies are from GGA-PBE.

a b c (Å): 5.975 3.433 6.013
angles (deg): 90.00 109.34 90.00
Element x y z (fractional)
Ca: 0.000 0.000 0.000
Ce: 0.500 0.000 0.500
Ce: 0.500 0.500 0.000
Hf: 0.000 0.500 0.500
N: 0.228 0.000 0.725
N: 0.244 0.500 0.275
N: 0.756 0.500 0.725
N: 0.772 0.000 0.275

Output
Electronic total energy = -8.606 eV/atom
Density of states at the Fermi level = 0.550 states/eV per atom
Space-group type = P2/m, No. 10
Calculated volume = 14.548 Å³ per atom
ρ = 7.916 g cm⁻³

Record 6
Here is a relaxed structure of ZrScPaNb from the Alexandria database. Energies are from GGA-PBE.

a b c (Å): 5.007 5.007 5.007
angles (deg): 60.00 60.00 60.00
Element x y z (fractional)
Zr: 0.000 0.000 0.000
Sc: 0.250 0.250 0.250
Pa: 0.500 0.500 0.500
Nb: 0.750 0.750 0.750

Output
Electronic total energy = -8.468 eV/atom
Density of states at the Fermi level = 2.204 states/eV per atom
Space-group type = F-43m, No. 216
Formation enthalpy at 0 K = 55 kJ/mol of formula units
Calculated volume = 22.195 Å³ per atom
ρ = 8.606 g cm⁻³

Record 7
Here is a relaxed structure of In2FeAs from the Alexandria database. Energies are from GGA-PBE.

a b c (Å): 9.441 9.441 9.441
angles (deg): 19.26 19.26 19.26
Element x y z (fractional)
In: 0.242 0.242 0.242
In: 0.758 0.758 0.758
Fe: 0.500 0.500 0.500
As: 0.000 0.000 0.000

Output
Electronic total energy = -4.272 eV/atom
Density of states at the Fermi level = 1.064 states/eV per atom
Space-group type = R-3m, No. 166
Formation enthalpy at 0 K = 145 kJ/mol of formula units
Calculated volume = 20.004 Å³ per atom
ρ = 7.479 g cm⁻³

Record 8
Here is a relaxed structure of Y2AsP from the Alexandria database. Energies are from GGA-PBE.

a b c (Å): 7.051 7.051 7.051
angles (deg): 33.54 33.54 33.54
Element x y z (fractional)
Y: 0.248 0.248 0.248
Y: 0.752 0.752 0.752
As: 0.000 0.000 0.000
P: 0.500 0.500 0.500

Output
Electronic total energy = -7.337 eV/atom
Density of states at the Fermi level = 0.123 states/eV per atom
Space-group type = R-3m, No. 166
Formation enthalpy at 0 K = -614 kJ/mol of formula units
Calculated volume = 23.833 Å³ per atom
ρ = 4.942 g cm⁻³

- calculated volume of number 8 (Y2AsP)?
  23.833 Å³ per atom

- Look up the calculated volume of the seventh one.
  20.004 Å³ per atom

- density of states at the Fermi level of number 4 (Rb2Rh3PbF12)?
  0.276 states/eV per atom